1.
# PBE SmHg3I9, optimized geometry
# E_tot ... -108.71 eV/cell
# V ... 49.168 A^3/atom
# Magnetization ... 0.00 μB/f.u.
# ΔE_f (raw) ... -585 meV/atom
data_SmHg3I9
_cell_length_a 20.765
_cell_length_b 10.641
_cell_length_c 14.913
_cell_angle_alpha 90.00
_cell_angle_beta 129.12
_cell_angle_gamma 90.00
_space_group_name_H-M_alt 'C 1 c 1'
_space_group_IT_number 9
loop_
_space_group_symop_operation_xyz
'x,y,z'
'x,-y,z+1/2'
'x+1/2,y+1/2,z'
'x+1/2,-y+1/2,z+1/2'
loop_
_atom_site_label
_atom_site_fract_x
_atom_site_fract_y
_atom_site_fract_z
Sm1 0.000 0.232 0.000
Hg1 0.138 0.430 0.836
Hg2 0.270 0.071 0.784
Hg3 0.369 0.389 0.680
I1 0.001 0.304 0.796
I2 0.003 0.069 0.176
I3 0.100 0.474 0.122
I4 0.141 0.038 0.067
I5 0.199 0.351 0.474
I6 0.264 0.242 0.927
I7 0.349 0.416 0.292
I8 0.355 0.127 0.462
I9 0.407 0.154 0.796

***

2.
# PBE GdMnC, optimized geometry
# E_tot ... -32.33 eV/cell
# V ... 14.157 A^3/atom
# ΔH_f (0 K) ... 47.5 meV/atom
# Magnetization ... 7.13 μB/f.u.
data_GdMnC
_cell_length_a 3.4087
_cell_length_b 3.4087
_cell_length_c 4.2207
_cell_angle_alpha 90.00
_cell_angle_beta 90.00
_cell_angle_gamma 120.00
_space_group_name_H-M_alt 'P -6 m 2'
_space_group_IT_number 187
_space_group_name_Hall 'P -6 2'
loop_
_atom_site_label
_atom_site_fract_x
_atom_site_fract_y
_atom_site_fract_z
Gd1 0.0000 0.0000 0.0000
Mn1 0.3333 0.6667 0.5000
C1 0.6667 0.3333 0.5000

***

3.
# PBE La2InGaCo, optimized geometry
# E_tot ... -24.28 eV/cell
# V ... 26.856 A^3/atom
# ΔH_f (0 K) ... -311.5 meV/atom
# Magnetization ... 0.00 μB/f.u.
data_La2InGaCo
_cell_length_a 5.198
_cell_length_b 5.198
_cell_length_c 4.971
_cell_angle_alpha 90.00
_cell_angle_beta 90.00
_cell_angle_gamma 90.00
_space_group_name_H-M_alt 'P 4/m m m'
_space_group_IT_number 123
_space_group_name_Hall '-P 4 2'
loop_
_atom_site_label
_atom_site_fract_x
_atom_site_fract_y
_atom_site_fract_z
La1 0.000 0.500 0.000
In1 0.000 0.000 0.500
Ga1 0.500 0.500 0.500
Co1 0.000 0.000 0.000

***

4.
# PBE NiP2Se, optimized geometry
# E_tot ... -38.04 eV/cell
# V ... 25.437 A^3/atom
# Magnetization ... 0.00 μB/f.u.
# ΔE_f (raw) ... 267 meV/atom
data_NiP2Se
_cell_length_a 3.091
_cell_length_b 5.809
_cell_length_c 11.335
_cell_angle_alpha 90.00
_cell_angle_beta 90.00
_cell_angle_gamma 90.00
_space_group_name_H-M_alt 'I m m 2'
_space_group_IT_number 44
loop_
_space_group_symop_operation_xyz
'x,y,z'
'-x,-y,z'
'-x,y,z'
'x,-y,z'
'x+1/2,y+1/2,z+1/2'
'-x+1/2,-y+1/2,z+1/2'
'-x+1/2,y+1/2,z+1/2'
'x+1/2,-y+1/2,z+1/2'
loop_
_atom_site_label
_atom_site_fract_x
_atom_site_fract_y
_atom_site_fract_z
Ni1 0.000 0.000 0.000
P1 0.000 0.000 0.714
P2 0.000 0.500 0.342
Se1 0.000 0.500 0.647

***

5.
# PBE Mo8W, optimized geometry
# E_tot ... -199.58 eV/cell
# V ... 15.867 A^3/atom
# ΔH_f (0 K) ... -21.1 meV/atom
# Magnetization ... 0.00 μB/f.u.
data_Mo8W
_cell_length_a 9.487
_cell_length_b 9.487
_cell_length_c 3.173
_cell_angle_alpha 90.00
_cell_angle_beta 90.00
_cell_angle_gamma 90.00
_space_group_name_H-M_alt 'I 4/m m m'
_space_group_IT_number 139
_space_group_name_Hall '-I 4 2'
loop_
_atom_site_label
_atom_site_fract_x
_atom_site_fract_y
_atom_site_fract_z
Mo1 0.000 0.333 0.000
Mo2 0.167 0.167 0.500
W1 0.000 0.000 0.000

***

6.
# PBE Ba2CuMo, optimized geometry
# E_tot ... -43.98 eV/cell
# V ... 32.861 A^3/atom
# ΔH_f (0 K) ... 1028.2 meV/atom
# Magnetization ... 2.47 μB/f.u.
data_Ba2CuMo
_cell_length_a 3.9919
_cell_length_b 3.9919
_cell_length_c 28.5740
_cell_angle_alpha 90.00
_cell_angle_beta 90.00
_cell_angle_gamma 120.00
_space_group_name_H-M_alt 'R -3 m'
_space_group_IT_number 166
_space_group_name_Hall '-R 3 2"'
loop_
_atom_site_label
_atom_site_fract_x
_atom_site_fract_y
_atom_site_fract_z
Ba1 0.0000 0.0000 0.2483
Cu1 0.0000 0.0000 0.5000
Mo1 0.0000 0.0000 0.0000

***

7.
# PBE FeBi3Ru, optimized geometry
# E_tot ... -24.56 eV/cell
# V ... 29.151 A^3/atom
# ΔH_f (0 K) ... 964.0 meV/atom
# Magnetization ... 3.05 μB/f.u.
data_FeBi3Ru
_cell_length_a 5.263
_cell_length_b 5.263
_cell_length_c 5.263
_cell_angle_alpha 90.00
_cell_angle_beta 90.00
_cell_angle_gamma 90.00
_space_group_name_H-M_alt 'P m -3 m'
_space_group_IT_number 221
_space_group_name_Hall '-P 4 2 3'
loop_
_atom_site_label
_atom_site_fract_x
_atom_site_fract_y
_atom_site_fract_z
Fe1 0.000 0.000 0.000
Bi1 0.000 0.500 0.500
Ru1 0.500 0.500 0.500

***

8.
# PBE NpGa2Cu, optimized geometry
# E_tot ... -91.60 eV/cell
# V ... 18.385 A^3/atom
# ΔH_f (0 K) ... 47.5 meV/atom
# Magnetization ... 4.11 μB/f.u.
data_NpGa2Cu
_cell_length_a 6.651
_cell_length_b 6.651
_cell_length_c 6.651
_cell_angle_alpha 90.00
_cell_angle_beta 90.00
_cell_angle_gamma 90.00
_space_group_name_H-M_alt 'F m -3 m'
_space_group_IT_number 225
_space_group_name_Hall '-F 4 2 3'
loop_
_atom_site_label
_atom_site_fract_x
_atom_site_fract_y
_atom_site_fract_z
Np1 0.000 0.000 0.000
Ga1 0.250 0.250 0.250
Cu1 0.000 0.000 0.500

***

9.
# PBE BeReTc2, optimized geometry
# E_tot ... -36.06 eV/cell
# V ... 13.535 A^3/atom
# ΔH_f (0 K) ... 211.4 meV/atom
# Magnetization ... 0.00 μB/f.u.
data_BeReTc2
_cell_length_a 3.026
_cell_length_b 4.212
_cell_length_c 4.247
_cell_angle_alpha 90.00
_cell_angle_beta 90.00
_cell_angle_gamma 90.00
_space_group_name_H-M_alt 'P m m m'
_space_group_IT_number 47
loop_
_space_group_symop_operation_xyz
'x,y,z'
'-x,-y,-z'
'-x,-y,z'
'x,y,-z'
'x,-y,-z'
'-x,y,z'
'-x,y,-z'
'x,-y,z'
loop_
_atom_site_label
_atom_site_fract_x
_atom_site_fract_y
_atom_site_fract_z
Be1 0.000 0.000 0.000
Re1 0.500 0.000 0.500
Tc1 0.000 0.500 0.500
Tc2 0.500 0.500 0.000

***

10.
# PBE Dy7Er2Th, optimized geometry
# E_tot ... -82.99 eV/cell
# V ... 38.765 A^3/atom
# ΔH_f (0 K) ... 726.8 meV/atom
# Magnetization ... 0.00 μB/f.u.
data_Dy7Er2Th
_cell_length_a 8.722
_cell_length_b 16.840
_cell_length_c 5.278
_cell_angle_alpha 90.00
_cell_angle_beta 90.00
_cell_angle_gamma 90.00
_space_group_name_H-M_alt 'C m m m'
_space_group_IT_number 65
_space_group_name_Hall '-C 2 2'
loop_
_atom_site_label
_atom_site_fract_x
_atom_site_fract_y
_atom_site_fract_z
Dy1 0.000 0.000 0.000
Dy2 0.000 0.301 0.500
Dy3 0.177 0.390 0.000
Er1 0.000 0.201 0.000
Th1 0.000 0.500 0.500

***

11.
# PBE MnAlRe2, optimized geometry
# E_tot ... -38.27 eV/cell
# V ... 13.645 A^3/atom
# ΔH_f (0 K) ... -115.1 meV/atom
# Magnetization ... 0.00 μB/f.u.
data_MnAlRe2
_cell_length_a 2.983
_cell_length_b 2.983
_cell_length_c 6.134
_cell_angle_alpha 90.00
_cell_angle_beta 90.00
_cell_angle_gamma 90.00
_space_group_name_H-M_alt 'P 4 m m'
_space_group_IT_number 99
loop_
_space_group_symop_operation_xyz
'x,y,z'
'-y,x,z'
'-x,-y,z'
'y,-x,z'
'-x,y,z'
'y,x,z'
'x,-y,z'
'-y,-x,z'
loop_
_atom_site_label
_atom_site_fract_x
_atom_site_fract_y
_atom_site_fract_z
Mn1 0.000 0.000 0.000
Al1 0.500 0.500 0.760
Re1 0.000 0.000 0.497
Re2 0.500 0.500 0.224

***

12.
# PBE RbGa3Tc, optimized geometry
# E_tot ... -78.27 eV/cell
# V ... 28.135 A^3/atom
# ΔH_f (0 K) ... 169.3 meV/atom
# Magnetization ... 0.00 μB/f.u.
data_RbGa3Tc
_cell_length_a 15.447
_cell_length_b 4.663
_cell_length_c 8.283
_cell_angle_alpha 90.00
_cell_angle_beta 109.41
_cell_angle_gamma 90.00
_space_group_name_H-M_alt 'C 1 2/m 1'
_space_group_IT_number 12
loop_
_space_group_symop_operation_xyz
'x,y,z'
'-x,-y,-z'
'-x,y,-z'
'x,-y,z'
'x+1/2,y+1/2,z'
'-x+1/2,-y+1/2,-z'
'-x+1/2,y+1/2,-z'
'x+1/2,-y+1/2,z'
loop_
_atom_site_label
_atom_site_fract_x
_atom_site_fract_y
_atom_site_fract_z
Rb1 0.106 0.000 0.377
Ga1 0.115 0.000 0.946
Ga2 0.157 0.500 0.763
Ga3 0.229 0.500 0.158
Tc1 0.066 0.500 0.967